The following is a DFT calculation (GGA-PBE) of crystalline KAg3Br8 at its relaxed geometry.

- energy relative to the elements, uncorrected (eV per atom) = -0.35

a b c (Å): 7.021 7.021 8.683
angles (deg): 90.00 90.00 120.00
Element x y z (fractional)
K  0.000  0.000  0.000
Ag  0.000  0.000  0.500
Ag  0.333  0.667  0.727
Ag  0.667  0.333  0.273
Br  0.033  0.319  0.317
Br  0.286  0.967  0.317
Br  0.319  0.286  0.683
Br  0.333  0.667  0.031
Br  0.667  0.333  0.969
Br  0.681  0.714  0.317
Br  0.714  0.033  0.683
Br  0.967  0.681  0.683

The following is a DFT calculation (GGA-PBE) of crystalline KAgBr3 at its relaxed geometry.

- energy relative to the elements, uncorrected (eV per atom) = -0.79

a b c (Å): 5.032 5.032 16.195
angles (deg): 90.00 90.00 120.00
Element x y z (fractional)
K  0.000  0.000  0.000
K  0.000  0.000  0.500
Ag  0.333  0.667  0.250
Ag  0.667  0.333  0.750
Br  0.000  0.000  0.250
Br  0.000  0.000  0.750
Br  0.333  0.667  0.093
Br  0.333  0.667  0.407
Br  0.667  0.333  0.593
Br  0.667  0.333  0.907

The following is a DFT calculation (GGA-PBE) of crystalline KAgBr3 at its relaxed geometry.

- energy relative to the elements, uncorrected (eV per atom) = -0.82

a b c (Å): 5.044 7.586 9.022
angles (deg): 75.66 84.46 81.19
Element x y z (fractional)
K  0.000  0.000  0.000
K  0.447  0.767  0.579
Ag  0.317  0.479  0.153
Ag  0.799  0.318  0.346
Br  0.052  0.467  0.851
Br  0.436  0.277  0.745
Br  0.494  0.123  0.234
Br  0.577  0.724  0.956
Br  0.869  0.056  0.617
Br  0.973  0.625  0.353

The following is a DFT calculation (GGA-PBE) of crystalline KAg2Br at its relaxed geometry.

- energy relative to the elements, uncorrected (eV per atom) = 0.15
- energy relative to the lowest polymorph listed for this composition (meV per atom) = 572

a b c (Å): 3.703 3.703 29.259
angles (deg): 90.00 90.00 120.00
Element x y z (fractional)
K  0.000  0.000  0.000
K  0.333  0.667  0.667
K  0.667  0.333  0.333
Ag  0.000  0.000  0.236
Ag  0.000  0.000  0.764
Ag  0.333  0.667  0.431
Ag  0.333  0.667  0.902
Ag  0.667  0.333  0.098
Ag  0.667  0.333  0.569
Br  0.000  0.000  0.500
Br  0.333  0.667  0.167
Br  0.667  0.333  0.833

The following is a DFT calculation (GGA-PBE) of crystalline KAg3Br4 at its relaxed geometry.

- energy relative to the elements, uncorrected (eV per atom) = -0.62
- energy relative to the lowest polymorph listed for this composition (meV per atom) = 38

a b c (Å): 7.883 7.883 7.883
angles (deg): 90.00 90.00 90.00
Element x y z (fractional)
K  0.000  0.000  0.000
K  0.500  0.500  0.500
Ag  0.000  0.250  0.500
Ag  0.000  0.750  0.500
Ag  0.250  0.500  0.000
Ag  0.500  0.000  0.250
Ag  0.500  0.000  0.750
Ag  0.750  0.500  0.000
Br  0.250  0.250  0.250
Br  0.250  0.250  0.750
Br  0.250  0.750  0.250
Br  0.250  0.750  0.750
Br  0.750  0.250  0.250
Br  0.750  0.250  0.750
Br  0.750  0.750  0.250
Br  0.750  0.750  0.750

The following is a DFT calculation (GGA-PBE) of crystalline KAgBr3 at its relaxed geometry.

- energy relative to the elements, uncorrected (eV per atom) = -0.49

a b c (Å): 4.568 4.568 8.554
angles (deg): 90.00 90.00 90.00
Element x y z (fractional)
K  0.000  0.000  0.000
Ag  0.500  0.500  0.494
Br  0.000  0.000  0.644
Br  0.000  0.500  0.273
Br  0.500  0.000  0.273

The following is a DFT calculation (GGA-PBE) of crystalline KAg6Br8 at its relaxed geometry.

- energy relative to the elements, uncorrected (eV per atom) = -0.48

a b c (Å): 7.724 7.724 7.724
angles (deg): 95.60 95.60 95.60
Element x y z (fractional)
K  0.000  0.000  0.000
Ag  0.226  0.640  0.368
Ag  0.360  0.632  0.774
Ag  0.368  0.226  0.640
Ag  0.632  0.774  0.360
Ag  0.640  0.368  0.226
Ag  0.774  0.360  0.632
Br  0.110  0.381  0.806
Br  0.194  0.890  0.619
Br  0.315  0.315  0.315
Br  0.381  0.806  0.110
Br  0.619  0.194  0.890
Br  0.685  0.685  0.685
Br  0.806  0.110  0.381
Br  0.890  0.619  0.194

The following is a DFT calculation (GGA-PBE) of crystalline KAgBr3 at its relaxed geometry.

- energy relative to the elements, uncorrected (eV per atom) = -0.82

a b c (Å): 9.906 7.731 10.355
angles (deg): 90.00 121.43 90.00
Element x y z (fractional)
K  0.161  0.249  0.080
K  0.161  0.251  0.580
K  0.839  0.749  0.420
K  0.839  0.751  0.920
Ag  0.299  0.670  0.399
Ag  0.299  0.830  0.899
Ag  0.701  0.170  0.101
Ag  0.701  0.330  0.601
Br  0.026  0.532  0.263
Br  0.026  0.968  0.763
Br  0.260  0.746  0.631
Br  0.260  0.754  0.131
Br  0.409  0.243  0.954
Br  0.409  0.257  0.454
Br  0.591  0.743  0.546
Br  0.591  0.757  0.046
Br  0.740  0.246  0.869
Br  0.740  0.254  0.369
Br  0.974  0.032  0.237
Br  0.974  0.468  0.737

The following is a DFT calculation (GGA-PBE) of crystalline K3Ag2Br8 at its relaxed geometry.

- energy relative to the elements, uncorrected (eV per atom) = -0.79

a b c (Å): 11.028 11.028 11.028
angles (deg): 37.81 37.81 37.81
Element x y z (fractional)
K  0.000  0.000  0.000
K  0.206  0.206  0.206
K  0.794  0.794  0.794
Ag  0.394  0.394  0.394
Ag  0.606  0.606  0.606
Br  0.203  0.741  0.741
Br  0.259  0.259  0.797
Br  0.259  0.797  0.259
Br  0.311  0.311  0.311
Br  0.689  0.689  0.689
Br  0.741  0.203  0.741
Br  0.741  0.741  0.203
Br  0.797  0.259  0.259

The following is a DFT calculation (GGA-PBE) of crystalline KAgBr at its relaxed geometry.

- energy relative to the elements, uncorrected (eV per atom) = -0.31
- energy relative to the lowest polymorph listed for this composition (meV per atom) = 227

a b c (Å): 7.644 7.644 7.644
angles (deg): 90.00 90.00 90.00
Element x y z (fractional)
K  0.000  0.000  0.000
K  0.000  0.500  0.500
K  0.500  0.000  0.500
K  0.500  0.500  0.000
Ag  0.250  0.250  0.750
Ag  0.250  0.750  0.250
Ag  0.750  0.250  0.250
Ag  0.750  0.750  0.750
Br  0.250  0.250  0.250
Br  0.250  0.750  0.750
Br  0.750  0.250  0.750
Br  0.750  0.750  0.250

The following is a DFT calculation (GGA-PBE) of crystalline KLa2AgBr8 at its relaxed geometry.

- energy relative to the elements, uncorrected (eV per atom) = -1.64

a b c (Å): 7.043 9.135 7.259
angles (deg): 90.00 95.20 90.00
Element x y z (fractional)
K  0.000  0.000  0.000
La  0.500  0.257  0.500
La  0.500  0.743  0.500
Ag  0.000  0.500  0.000
Br  0.238  0.278  0.169
Br  0.238  0.722  0.169
Br  0.279  0.500  0.653
Br  0.287  0.000  0.643
Br  0.713  0.000  0.357
Br  0.721  0.500  0.347
Br  0.762  0.278  0.831
Br  0.762  0.722  0.831

The following is a DFT calculation (GGA-PBE) of crystalline KLaAg2Br6 at its relaxed geometry.

- energy relative to the elements, uncorrected (eV per atom) = -1.26

a b c (Å): 7.726 7.729 8.232
angles (deg): 62.03 62.08 60.02
Element x y z (fractional)
K  0.000  0.000  0.000
La  0.491  0.491  0.526
Ag  0.246  0.247  0.260
Ag  0.692  0.690  0.927
Br  0.086  0.443  0.730
Br  0.309  0.890  0.234
Br  0.443  0.740  0.731
Br  0.566  0.310  0.234
Br  0.740  0.085  0.731
Br  0.889  0.567  0.233